(1)
Material: MgNpTcIr
Method: DFT, PBE-GGA
State: relaxed

Computed properties:
E_tot	-137.15	eV for the cell shown
total moment	2.47	μB/f.u.
D(E_F)	6.75	states/eV/f.u.

a b c (Å): 6.536 6.536 6.536
angles (deg): 90.00 90.00 90.00
Space group F-43m (No. 216)
Asymmetric unit:
Mg (0.000, 0.000, 0.000)
Np (0.000, 0.000, 0.500)
Tc (0.250, 0.250, 0.750)
Ir (0.250, 0.250, 0.250)

(2)
Material: MgNpZnIr
Method: DFT, PBE-GGA
State: relaxed

Computed properties:
E_tot	-99.92	eV for the cell shown
total moment	3.53	μB/f.u.
D(E_F)	10.69	states/eV/f.u.

a b c (Å): 6.704 6.704 6.704
angles (deg): 90.00 90.00 90.00
Space group F-43m (No. 216)
Asymmetric unit:
Mg (0.000, 0.000, 0.000)
Np (0.000, 0.000, 0.500)
Zn (0.250, 0.250, 0.750)
Ir (0.250, 0.250, 0.250)